(1)
Computed, not measured: a geometry-optimized Tc2SnMo structure at the PBE level of DFT.

a = 4.5150 Å, b = 4.5150 Å, c = 4.5150 Å
α = 60.00°, β = 60.00°, γ = 60.00°
Sites, in units of the cell vectors:
1 Mo 0.2500 0.2500 0.2500
2 Sn 0.5000 0.5000 0.5000
3 Tc 0.0000 0.0000 0.0000
4 Tc 0.7500 0.7500 0.7500

Properties
Raw total energy   -34.4 eV for the cell shown

(2)
Computed, not measured: a geometry-optimized TcSnMo2 structure at the PBE level of DFT.

a = 4.5389 Å, b = 4.5389 Å, c = 4.5389 Å
α = 60.00°, β = 60.00°, γ = 60.00°
Sites, in units of the cell vectors:
1 Mo 0.0000 0.0000 0.0000
2 Mo 0.7500 0.7500 0.7500
3 Sn 0.5000 0.5000 0.5000
4 Tc 0.2500 0.2500 0.2500

Properties
Raw total energy   -35.3 eV for the cell shown

(3)
Computed, not measured: a geometry-optimized SnTeMo structure at the PBE level of DFT.

a = 4.7317 Å, b = 4.7317 Å, c = 4.7317 Å
α = 60.00°, β = 60.00°, γ = 60.00°
Sites, in units of the cell vectors:
1 Mo 0.0000 0.0000 0.0000
2 Sn 0.2500 0.2500 0.2500
3 Te 0.7500 0.7500 0.7500

Properties
Polymorph energy (0 for the lowest one)   0 meV per atom